(1)
Here is a geometry-optimized CaGa2Sn structure from the Alexandria database. Energies are from PBE.

Computed properties:
DFT formation energy   -133 kJ/mol of formula units
Crystal system   tetragonal
Density of states at the Fermi level   0.291 states/eV/atom

Unit cell a=4.422 b=4.536 c=4.536 alpha=90.00 beta=90.00 gamma=90.00
Element x y z (fractional)
1 Ga 0.000 0.000 0.500
2 Ga 0.000 0.500 0.000
3 Sn 0.500 0.000 0.000
4 Ca 0.500 0.500 0.500

***

(2)
Here is a geometry-optimized Ca2Ga3Sn structure from the Alexandria database. Energies are from PBE.

Computed properties:
DFT formation energy   -275 kJ/mol of formula units
Crystal system   monoclinic
Density of states at the Fermi level   0.365 states/eV/atom

Unit cell a=4.528 b=6.053 c=6.039 alpha=74.28 beta=67.98 gamma=68.04
Element x y z (fractional)
1 Ca 0.557 0.192 0.695
2 Ca 0.439 0.813 0.310
3 Ga 0.162 0.792 0.883
4 Ga 0.857 0.201 0.084
5 Ga 0.826 0.604 0.744
6 Sn 0.159 0.398 0.283